Computed, not measured: a PBEsol-optimized structure of Sr4Ru6ClO18 at the SCAN level of DFT.

abc: 7.9763 7.9763 7.9763
angles: 109.47 109.47 109.47
Last column: nearest neighbours and their distance in Å.
Sites, in units of the cell vectors:
O 0.3091 0.3534 0.6208  2 Ru 1.93-1.96
O 0.0000 0.6268 0.6268  2 Ru 1.91
O 0.6466 0.9557 0.2674  2 Ru 1.93-1.96
O 0.6909 0.3117 0.0443  2 Ru 1.93-1.96
Sr 0.0000 0.3750 0.0000  6 O 2.52-2.70
O 0.0000 0.3732 0.3732  2 Ru 1.91
Sr 0.3750 0.0000 0.0000  6 O 2.52-2.70
O 0.6208 0.3091 0.3534  2 Ru 1.93-1.96
O 0.9557 0.2674 0.6466  2 Ru 1.93-1.96
O 0.3117 0.0443 0.6909  2 Ru 1.93-1.96
Ru 0.1638 0.5000 0.6638  6 O 1.91-1.96
Ru 0.3362 0.8362 0.5000  6 O 1.91-1.96
O 0.3534 0.6208 0.3091  2 Ru 1.93-1.96
O 0.6268 0.0000 0.6268  2 Ru 1.91
Sr 0.6250 0.6250 0.6250  6 O 2.52-2.70
Ru 0.5000 0.6638 0.1638  6 O 1.91-1.96
O 0.6268 0.6268 0.0000  2 Ru 1.91
Ru 0.6638 0.1638 0.5000  6 O 1.91-1.96
Cl 0.0000 0.0000 0.0000  4 Sr 2.99
Sr 0.0000 0.0000 0.3750  6 O 2.52-2.70
O 0.7326 0.6883 0.3792  2 Ru 1.93-1.96
O 0.3792 0.7326 0.6883  2 Ru 1.93-1.96
O 0.2674 0.6466 0.9557  2 Ru 1.93-1.96
O 0.3732 0.3732 0.0000  2 Ru 1.91
Ru 0.8362 0.5000 0.3362  6 O 1.91-1.96
O 0.6883 0.3792 0.7326  2 Ru 1.93-1.96
Ru 0.5000 0.3362 0.8362  6 O 1.91-1.96
O 0.0443 0.6909 0.3117  2 Ru 1.93-1.96
O 0.3732 0.0000 0.3732  2 Ru 1.91

Energy relative to the elements, uncorrected in kJ/mol of formula units: -4906
Total magnetic moment in μB per formula unit: 0.00
VASP energy in eV per atom: -16.174
Symmetry: I23